1.
## FeRe2Au (PBE)

Data for crystalline FeRe2Au at its relaxed geometry.

Geometry as extended XYZ:
```
4
Lattice="3.224 0.000 0.000 0.000 3.224 0.000 0.000 0.000 5.838" Properties=species:S:1:pos:R:3 pbc="T T T"
Fe 0.000 0.000 0.000
Re 0.000 0.000 2.650
Re 1.612 1.612 1.359
Au 1.612 1.612 4.391
```

Values from the calculation:
energy of formation from the pure elements = 0.330 eV per atom
relative energy among the computed polymorphs = 111 meV per atom
Fermi-level density of states = 2.6 states/eV/cell

=====

2.
## Na3ZnPb3O8 (PBE)

Data for crystalline Na3ZnPb3O8 at its relaxed geometry.

Geometry as extended XYZ:
```
15
Lattice="3.348 1.933 5.659 -3.348 1.933 5.659 0.000 -3.865 5.659" Properties=species:S:1:pos:R:3 pbc="T T T"
Na -1.674 -0.966 5.659
Na -1.674 0.966 11.318
Na 0.000 1.933 5.659
Zn 0.000 0.000 8.489
Pb -3.348 0.000 8.489
Pb -1.674 0.966 2.830
Pb 1.674 0.966 2.830
O -1.631 -0.942 9.615
O 0.000 0.000 4.123
O 0.000 -1.884 7.362
O -1.631 0.942 7.362
O 1.631 -0.942 9.615
O 0.000 1.884 9.615
O 0.000 0.000 12.854
O 1.631 0.942 7.362
```

Values from the calculation:
uncorrected energy = -4.901 eV per atom
Fermi-level density of states = 1.5 states/eV/cell

=====

3.
## ErUC2 (PBE)

Data for crystalline ErUC2 at its relaxed geometry.

Geometry as extended XYZ:
```
4
Lattice="1.762 1.017 5.800 -1.762 1.017 5.800 0.000 -2.034 5.800" Properties=species:S:1:pos:R:3 pbc="T T T"
Er 0.000 0.000 0.000
U 0.000 0.000 3.004
C 0.000 0.000 10.075
C 0.000 0.000 13.376
```

Values from the calculation:
energy of formation from the pure elements = -0.106 eV per atom
relative energy among the computed polymorphs = 195 meV per atom
Fermi-level density of states = 4.0 states/eV/cell

=====

4.
## Ba2CeTcO6 (PBE)

Data for crystalline Ba2CeTcO6 at its relaxed geometry.

Geometry as extended XYZ:
```
10
Lattice="0.000 4.276 4.276 4.276 0.000 4.276 4.276 4.276 0.000" Properties=species:S:1:pos:R:3 pbc="T T T"
Ba 2.138 2.138 2.138
Ba 6.414 6.414 6.414
Ce 0.000 0.000 0.000
Tc 4.276 4.276 4.276
O 4.276 4.276 2.246
O 4.276 2.246 4.276
O 6.306 4.276 4.276
O 2.246 4.276 4.276
O 4.276 6.306 4.276
O 4.276 4.276 6.306
```

Values from the calculation:
uncorrected energy = -7.603 eV per atom

=====

5.
## NaWBr6 (PBE)

Data for crystalline NaWBr6 at its relaxed geometry.

Geometry as extended XYZ:
```
8
Lattice="3.451 1.992 6.245 -3.451 1.992 6.245 0.000 -3.984 6.245" Properties=species:S:1:pos:R:3 pbc="T T T"
Na 0.000 0.000 0.000
W 0.000 0.000 9.368
Br -1.155 -1.704 7.932
Br -2.053 0.149 10.803
Br -0.898 1.852 7.932
Br 0.898 -1.852 10.803
Br 2.053 -0.149 7.932
Br 1.155 1.704 10.803
```

Values from the calculation:
relative energy among the computed polymorphs = 15 meV per atom
Fermi-level density of states = 5.9 states/eV/cell

=====

6.
## Rb3U2VSe6 (PBE)

Data for crystalline Rb3U2VSe6 at its relaxed geometry.

Geometry as extended XYZ:
```
12
Lattice="3.583 -6.208 0.000 3.583 6.208 0.000 -2.397 0.000 8.030" Properties=species:S:1:pos:R:3 pbc="T T T"
Rb 0.000 0.000 0.000
Rb 3.583 2.105 0.000
Rb 3.583 -2.105 0.000
U 2.385 4.143 4.015
U 2.385 -4.143 4.015
V 2.385 0.000 4.015
Se 1.253 1.964 2.480
Se 0.118 0.000 5.561
Se 1.253 -1.964 2.480
Se 3.517 1.964 5.550
Se 4.653 0.000 2.470
Se 3.517 -1.964 5.550
```

Values from the calculation:
uncorrected energy = -5.731 eV per atom
Fermi-level density of states = 10.7 states/eV/cell

=====

7.
## InP (PBE)

Data for crystalline InP at its relaxed geometry.

Geometry as extended XYZ:
```
6
Lattice="6.640 -1.719 0.000 6.640 1.719 0.000 -3.599 0.000 6.029" Properties=species:S:1:pos:R:3 pbc="T T T"
In 0.000 0.000 0.000
In -2.107 0.000 3.570
In 0.467 0.000 5.839
P 1.264 0.000 2.309
P 6.678 0.000 3.539
P 9.393 0.000 1.622
```

Values from the calculation:
energy of formation from the pure elements = 0.142 eV per atom
Fermi-level density of states = 1.5 states/eV/cell

=====

8.
## Dy3TlHg4 (PBE)

Data for crystalline Dy3TlHg4 at its relaxed geometry.

Geometry as extended XYZ:
```
8
Lattice="-1.778 3.546 8.718 1.778 -3.546 8.718 1.778 3.546 -8.718" Properties=species:S:1:pos:R:3 pbc="T T T"
Dy 0.000 0.000 0.000
Dy 1.778 0.000 4.882
Dy 0.000 3.546 3.836
Tl 0.000 0.000 8.718
Hg 1.778 1.534 -2.244
Hg 1.778 1.534 2.244
Hg 0.000 2.013 6.474
Hg 0.000 2.013 10.962
```

Values from the calculation:
energy of formation from the pure elements = -0.274 eV per atom
relative energy among the computed polymorphs = 119 meV per atom
Fermi-level density of states = 5.7 states/eV/cell